Record 1
Computed, not measured: a PBEsol-optimized structure of PPtN2F at the meta-GGA SCAN level of DFT.

Computed properties:
**Raw total energy**: -98.9 eV for the cell shown
**Formation energy (no corrections)**: 765 meV per atom
**Total magnetic moment**: 0.00 μB/atom

CIF file:
```
data_PPtN2F
_chemical_formula_sum 'P1 Pt1 N2 F1'
_space_group_name_H-M_alt 'P 4/m m m'
_space_group_IT_number 123
_space_group_name_Hall '-P 4 2'
_cell_length_a 3.644
_cell_length_b 3.644
_cell_length_c 3.516
_cell_angle_alpha 90.00
_cell_angle_beta 90.00
_cell_angle_gamma 90.00
loop_
_atom_site_label
_atom_site_fract_x
_atom_site_fract_y
_atom_site_fract_z
P1 0.000 0.000 0.000
Pt1 0.500 0.500 0.500
N1 0.000 0.500 0.000
F1 0.000 0.000 0.500
```

***

Record 2
Computed, not measured: a PBEsol-optimized structure of PPtNF2 at the meta-GGA SCAN level of DFT.

Computed properties:
**Raw total energy**: -94.7 eV for the cell shown
**Formation energy (no corrections)**: 456 meV per atom
**Total magnetic moment**: 0.39 μB/atom

CIF file:
```
data_PPtNF2
_chemical_formula_sum 'P1 Pt1 N1 F2'
_space_group_name_H-M_alt 'P 4/m m m'
_space_group_IT_number 123
_space_group_name_Hall '-P 4 2'
_cell_length_a 4.341
_cell_length_b 4.341
_cell_length_c 3.696
_cell_angle_alpha 90.00
_cell_angle_beta 90.00
_cell_angle_gamma 90.00
loop_
_atom_site_label
_atom_site_fract_x
_atom_site_fract_y
_atom_site_fract_z
P1 0.000 0.000 0.000
Pt1 0.500 0.500 0.500
N1 0.500 0.500 0.000
F1 0.000 0.500 0.500
```

***

Record 3
Computed, not measured: a PBEsol-optimized structure of PRuN2F at the meta-GGA SCAN level of DFT.

Computed properties:
**Raw total energy**: -63.4 eV for the cell shown
**Formation energy (no corrections)**: 784 meV per atom
**Total magnetic moment**: 0.19 μB/atom

CIF file:
```
data_PRuN2F
_chemical_formula_sum 'P1 Ru1 N2 F1'
_space_group_name_H-M_alt 'P 4/m m m'
_space_group_IT_number 123
_space_group_name_Hall '-P 4 2'
_cell_length_a 3.821
_cell_length_b 3.821
_cell_length_c 3.971
_cell_angle_alpha 90.00
_cell_angle_beta 90.00
_cell_angle_gamma 90.00
loop_
_atom_site_label
_atom_site_fract_x
_atom_site_fract_y
_atom_site_fract_z
P1 0.000 0.000 0.000
Ru1 0.500 0.500 0.500
N1 0.000 0.500 0.500
F1 0.500 0.500 0.000
```

***

Record 4
Computed, not measured: a PBEsol-optimized structure of PS2NF at the meta-GGA SCAN level of DFT.

Computed properties:
**Raw total energy**: -39.2 eV for the cell shown
**Formation energy (no corrections)**: 664 meV per atom
**Total magnetic moment**: 0.56 μB/atom

CIF file:
```
data_PS2NF
_chemical_formula_sum 'P1 S2 N1 F1'
_space_group_name_H-M_alt 'P 4/m m m'
_space_group_IT_number 123
_space_group_name_Hall '-P 4 2'
_cell_length_a 4.595
_cell_length_b 4.595
_cell_length_c 3.162
_cell_angle_alpha 90.00
_cell_angle_beta 90.00
_cell_angle_gamma 90.00
loop_
_atom_site_label
_atom_site_fract_x
_atom_site_fract_y
_atom_site_fract_z
P1 0.000 0.000 0.000
S1 0.000 0.500 0.000
N1 0.000 0.000 0.500
F1 0.500 0.500 0.500
```